No. 1
Compound: CrHS2Cl
Source: Alexandria
Functional: GGA-PBEsol
Structure: relaxed

**Final energy**: -4.5087 eV/atom
**Total magnetic moment**: 2.155 μB/f.u.
**D(E_F)**: 2.5 states/eV/f.u.

Cell lengths 4.3534, 4.3534, 4.8372 Å; angles 90.00, 90.00, 90.00 degrees
Space group P4/mmm (No. 123)
Asymmetric unit:
Cr1 0.0000 0.0000 0.0000
H1 0.5000 0.5000 0.5000
S1 0.0000 0.5000 0.0000
Cl1 0.0000 0.0000 0.5000

***

No. 2
Compound: Na6MnO4
Source: Alexandria
Functional: GGA-PBEsol
Structure: relaxed

**Polymorph energy (0 for the lowest one)**: 0.00 eV/f.u.
**Total magnetic moment**: 4.995 μB/f.u.
**E_form (uncorrected)**: -1243.0 meV/atom
**D(E_F)**: 4.5 states/eV/f.u.

Cell lengths 7.6482, 7.6482, 5.8692 Å; angles 90.00, 90.00, 120.00 degrees
Space group P6_3mc (No. 186)
Asymmetric unit:
Na1 0.0773 0.5386 0.0000
Na2 0.1394 0.2789 0.3318
Mn1 0.3333 0.6667 0.6040
O1 0.1896 0.3793 0.7204
O2 0.3333 0.6667 0.2670

***

No. 3
Compound: Si2TeIr
Source: Alexandria
Functional: GGA-PBEsol
Structure: relaxed

**Total magnetic moment**: 0.000 μB/f.u.
**E_form (uncorrected)**: 44.2 meV/atom
**D(E_F)**: 2.6 states/eV/f.u.

Cell lengths 3.8614, 3.8614, 17.0280 Å; angles 90.00, 90.00, 120.00 degrees
Space group R3m (No. 160, hexagonal axes)
Asymmetric unit:
Si1 0.0000 0.0000 0.0000
Si2 0.0000 0.0000 0.2677
Te1 0.0000 0.0000 0.7884
Ir1 0.0000 0.0000 0.5483

***

No. 4
Compound: CrHg6As4Br7
Source: Alexandria
Functional: GGA-PBEsol
Structure: relaxed

**Total magnetic moment**: 2.999 μB/f.u.
**E_form (uncorrected)**: -352.7 meV/atom

Cell lengths 12.2779, 12.2779, 12.2779 Å; angles 90.00, 90.00, 90.00 degrees
Space group Pa-3 (No. 205)
Asymmetric unit:
Cr1 0.0000 0.0000 0.0000
Hg1 0.0438 0.1883 0.7018
As1 0.1535 0.6535 0.8465
As2 0.2314 0.2314 0.2314
Br1 0.0000 0.0000 0.5000
Br2 0.0386 0.5460 0.3065